PBE In3AsCl, optimized geometry; space group = Pm-3m (221)
1.0
5.5220 0.0000 0.0000
0.0000 5.5220 0.0000
0.0000 0.0000 5.5220
In As Cl
3 1 1
Direct
0.0000 0.0000 0.5000
0.0000 0.5000 0.0000
0.5000 0.0000 0.0000
0.0000 0.0000 0.0000
0.5000 0.5000 0.5000



PBE InAs2Cl, optimized geometry; space group = Fm-3m (225)
1.0
0.0000 3.4810 3.4810
3.4810 0.0000 3.4810
3.4810 3.4810 0.0000
In As Cl
1 2 1
Direct
0.0000 0.0000 0.0000
0.2500 0.2500 0.2500
0.7500 0.7500 0.7500
0.5000 0.5000 0.5000



PBE InAsCl, optimized geometry; space group = P3m1 (156)
1.0
4.7726 0.0000 0.0000
-2.3863 4.1332 0.0000
0.0000 0.0000 3.6525
In As Cl
1 1 1
Direct
0.0000 0.0000 0.0000
0.6667 0.3333 0.0025
0.3333 0.6667 0.5021



PBE InAs2Cl, optimized geometry; space group = P4/mmm (123)
1.0
5.1733 0.0000 0.0000
0.0000 5.1733 0.0000
0.0000 0.0000 3.2230
In As Cl
1 2 1
Direct
0.0000 0.0000 0.0000
0.0000 0.5000 0.5000
0.5000 0.0000 0.5000
0.5000 0.5000 0.0000



Energy relative to the elements, uncorrected for the records above, in order: 0.24; 1.07; -0.17; 1.28 eV per formula unit